# 1
# CaGeOs2Rh

CaGeOs2Rh after structural relaxation (GGA-PBE, Alexandria).

## Properties
electronic total energy	-4.551	eV/atom
volume	20.6	A^3/atom
DOS at the Fermi energy	1.426	states/eV per atom

abc: 4.598 4.598 4.870
angles: 90.00 90.00 90.00
Space group P4/mmm (No. 123)
Asymmetric unit:
Ca (0.000, 0.000, 0.000)
Ge (0.000, 0.000, 0.500)
Os (0.000, 0.500, 0.000)
Rh (0.500, 0.500, 0.500)


# 2
# Ca2GeOsS

Ca2GeOsS after structural relaxation (GGA-PBE, Alexandria).

## Properties
raw formation energy	0.359	eV per atom
electronic total energy	-4.437	eV/atom
volume	25.3	A^3/atom
DOS at the Fermi energy	0.756	states/eV per atom

abc: 5.103 5.103 4.848
angles: 90.00 90.00 90.00
Space group P4/mmm (No. 123)
Asymmetric unit:
Ca (0.000, 0.500, 0.000)
Ge (0.000, 0.000, 0.500)
Os (0.500, 0.500, 0.500)
S (0.000, 0.000, 0.000)


# 3
# CaTa2GeOs

CaTa2GeOs after structural relaxation (GGA-PBE, Alexandria).

## Properties
electronic total energy	-5.670	eV/atom
volume	21.1	A^3/atom
DOS at the Fermi energy	0.782	states/eV per atom

abc: 4.788 4.788 4.613
angles: 90.00 90.00 90.00
Space group P4/mmm (No. 123)
Asymmetric unit:
Ca (0.000, 0.000, 0.000)
Ta (0.000, 0.500, 0.000)
Ge (0.500, 0.500, 0.500)
Os (0.000, 0.000, 0.500)


# 4
# CaGeTeOs2

CaGeTeOs2 after structural relaxation (GGA-PBE, Alexandria).

## Properties
raw formation energy	0.860	eV per atom
electronic total energy	-5.584	eV/atom
volume	22.7	A^3/atom
DOS at the Fermi energy	0.994	states/eV per atom

abc: 4.615 4.615 5.317
angles: 90.00 90.00 90.00
Space group P4/mmm (No. 123)
Asymmetric unit:
Ca (0.000, 0.000, 0.000)
Ge (0.000, 0.000, 0.500)
Te (0.500, 0.500, 0.000)
Os (0.000, 0.500, 0.500)